# Zr3Ir

Crystalline Zr3Ir at its relaxed geometry (GGA-PBEsol, Alexandria via LeMat-Bulk).

```
data_Zr3Ir
_cell_length_a 3.301
_cell_length_b 3.301
_cell_length_c 7.187
_cell_angle_alpha 90.00
_cell_angle_beta 90.00
_cell_angle_gamma 90.00
_space_group_name_H-M_alt 'P 1'
_space_group_IT_number 1
loop_
_space_group_symop_operation_xyz
'x,y,z'
loop_
_atom_site_label
_atom_site_type_symbol
_atom_site_fract_x
_atom_site_fract_y
_atom_site_fract_z
_atom_site_occupancy
Ir1 Ir 0.000 0.000 0.000 1
Zr1 Zr 0.000 0.000 0.500 1
Zr2 Zr 0.500 0.500 0.220 1
Zr3 Zr 0.500 0.500 0.780 1
```

Results
ρ	9.88	g cm⁻³
calculated volume	19.58	Å³ per atom
formation energy	-0.4442	eV per atom
VASP energy	-38.9	eV per cell
space-group type	P4/mmm, No. 123
density of states at the Fermi level	3.65	states/eV/f.u.

# ZrIr

Crystalline ZrIr at its relaxed geometry (GGA-PBEsol, Alexandria via LeMat-Bulk).

```
data_ZrIr
_cell_length_a 2.926
_cell_length_b 2.926
_cell_length_c 4.567
_cell_angle_alpha 90.00
_cell_angle_beta 90.00
_cell_angle_gamma 120.00
_space_group_name_H-M_alt 'P 1'
_space_group_IT_number 1
loop_
_space_group_symop_operation_xyz
'x,y,z'
loop_
_atom_site_label
_atom_site_type_symbol
_atom_site_fract_x
_atom_site_fract_y
_atom_site_fract_z
_atom_site_occupancy
Ir1 Ir 0.000 0.000 0.000 1
Zr1 Zr 0.667 0.333 0.500 1
```

Results
ρ	13.90	g cm⁻³
calculated volume	16.93	Å³ per atom
formation energy	-0.3293	eV per atom
VASP energy	-19.6	eV per cell
space-group type	P-6m2, No. 187
density of states at the Fermi level	1.37	states/eV/f.u.

# ZrIr

Crystalline ZrIr at its relaxed geometry (GGA-PBEsol, Alexandria via LeMat-Bulk).

```
data_ZrIr
_cell_length_a 3.266
_cell_length_b 3.266
_cell_length_c 3.266
_cell_angle_alpha 90.00
_cell_angle_beta 90.00
_cell_angle_gamma 90.00
_space_group_name_H-M_alt 'P 1'
_space_group_IT_number 1
loop_
_space_group_symop_operation_xyz
'x,y,z'
loop_
_atom_site_label
_atom_site_type_symbol
_atom_site_fract_x
_atom_site_fract_y
_atom_site_fract_z
_atom_site_occupancy
Ir1 Ir 0.000 0.000 0.000 1
Zr1 Zr 0.500 0.500 0.500 1
```

Results
ρ	13.51	g cm⁻³
calculated volume	17.42	Å³ per atom
formation energy	-0.7703	eV per atom
VASP energy	-20.5	eV per cell
space-group type	Pm-3m, No. 221
density of states at the Fermi level	2.18	states/eV/f.u.

# ZrIr2

Crystalline ZrIr2 at its relaxed geometry (GGA-PBEsol, Alexandria via LeMat-Bulk).

```
data_ZrIr2
_cell_length_a 3.933
_cell_length_b 3.933
_cell_length_c 12.629
_cell_angle_alpha 98.96
_cell_angle_beta 98.96
_cell_angle_gamma 90.00
_space_group_name_H-M_alt 'P 1'
_space_group_IT_number 1
loop_
_space_group_symop_operation_xyz
'x,y,z'
loop_
_atom_site_label
_atom_site_type_symbol
_atom_site_fract_x
_atom_site_fract_y
_atom_site_fract_z
_atom_site_occupancy
Ir1 Ir 0.750 0.750 0.499 1
Ir2 Ir 0.250 0.250 0.501 1
Ir3 Ir 0.000 0.500 0.999 1
Ir4 Ir 0.500 0.000 0.001 1
Ir5 Ir 0.582 0.582 0.163 1
Ir6 Ir 0.418 0.418 0.837 1
Ir7 Ir 0.832 0.332 0.663 1
Ir8 Ir 0.668 0.168 0.337 1
Zr1 Zr 0.923 0.923 0.846 1
Zr2 Zr 0.077 0.077 0.154 1
Zr3 Zr 0.173 0.673 0.346 1
Zr4 Zr 0.327 0.827 0.654 1
```

Results
ρ	16.58	g cm⁻³
calculated volume	15.88	Å³ per atom
formation energy	-0.7971	eV per atom
VASP energy	-124.5	eV per cell
space-group type	I4_1/amd, No. 141
density of states at the Fermi level	2.01	states/eV/f.u.

# Zr3Ir

Crystalline Zr3Ir at its relaxed geometry (GGA-PBEsol, Alexandria via LeMat-Bulk).

```
data_Zr3Ir
_cell_length_a 5.635
_cell_length_b 8.050
_cell_length_c 8.050
_cell_angle_alpha 82.96
_cell_angle_beta 69.51
_cell_angle_gamma 69.51
_space_group_name_H-M_alt 'P 1'
_space_group_IT_number 1
loop_
_space_group_symop_operation_xyz
'x,y,z'
loop_
_atom_site_label
_atom_site_type_symbol
_atom_site_fract_x
_atom_site_fract_y
_atom_site_fract_z
_atom_site_occupancy
Ir1 Ir 0.000 0.708 0.292 1
Ir2 Ir 0.000 0.292 0.708 1
Ir3 Ir 0.708 0.292 0.292 1
Ir4 Ir 0.292 0.708 0.708 1
Zr1 Zr 0.357 0.810 0.000 1
Zr2 Zr 0.167 0.190 0.000 1
Zr3 Zr 0.643 0.000 0.190 1
Zr4 Zr 0.833 0.000 0.810 1
Zr5 Zr 0.543 0.412 0.000 1
Zr6 Zr 0.955 0.588 0.000 1
Zr7 Zr 0.457 0.000 0.588 1
Zr8 Zr 0.045 0.000 0.412 1
Zr9 Zr 0.500 0.646 0.354 1
Zr10 Zr 0.500 0.354 0.646 1
Zr11 Zr 0.146 0.354 0.354 1
Zr12 Zr 0.854 0.646 0.646 1
```

Results
ρ	9.66	g cm⁻³
calculated volume	20.03	Å³ per atom
formation energy	-0.5268	eV per atom
VASP energy	-156.8	eV per cell
space-group type	I-42m, No. 121
density of states at the Fermi level	4.67	states/eV/f.u.

# ZrIr4

Crystalline ZrIr4 at its relaxed geometry (GGA-PBEsol, Alexandria via LeMat-Bulk).

```
data_ZrIr4
_cell_length_a 4.970
_cell_length_b 4.970
_cell_length_c 4.970
_cell_angle_alpha 109.47
_cell_angle_beta 109.47
_cell_angle_gamma 109.47
_space_group_name_H-M_alt 'P 1'
_space_group_IT_number 1
loop_
_space_group_symop_operation_xyz
'x,y,z'
loop_
_atom_site_label
_atom_site_type_symbol
_atom_site_fract_x
_atom_site_fract_y
_atom_site_fract_z
_atom_site_occupancy
Ir1 Ir 0.000 0.000 0.500 1
Ir2 Ir 0.000 0.500 0.000 1
Ir3 Ir 0.500 0.000 0.000 1
Ir4 Ir 0.500 0.500 0.500 1
Zr1 Zr 0.000 0.000 0.000 1
```

Results
ρ	15.11	g cm⁻³
calculated volume	18.90	Å³ per atom
formation energy	1.1920	eV per atom
VASP energy	-42.4	eV per cell
space-group type	Im-3m, No. 229
density of states at the Fermi level	7.09	states/eV/f.u.

# Zr3Ir4

Crystalline Zr3Ir4 at its relaxed geometry (GGA-PBEsol, Alexandria via LeMat-Bulk).

```
data_Zr3Ir4
_cell_length_a 5.535
_cell_length_b 7.275
_cell_length_c 7.275
_cell_angle_alpha 113.80
_cell_angle_beta 104.69
_cell_angle_gamma 104.69
_space_group_name_H-M_alt 'P 1'
_space_group_IT_number 1
loop_
_space_group_symop_operation_xyz
'x,y,z'
loop_
_atom_site_label
_atom_site_type_symbol
_atom_site_fract_x
_atom_site_fract_y
_atom_site_fract_z
_atom_site_occupancy
Ir1 Ir 0.500 0.000 0.000 1
Ir2 Ir 0.000 0.000 0.000 1
Ir3 Ir 0.035 0.461 0.296 1
Ir4 Ir 0.573 0.835 0.539 1
Ir5 Ir 0.739 0.704 0.165 1
Ir6 Ir 0.965 0.539 0.704 1
Ir7 Ir 0.427 0.165 0.461 1
Ir8 Ir 0.261 0.296 0.835 1
Zr1 Zr 0.905 0.139 0.397 1
Zr2 Zr 0.766 0.258 0.861 1
Zr3 Zr 0.508 0.603 0.742 1
Zr4 Zr 0.095 0.861 0.603 1
Zr5 Zr 0.234 0.742 0.139 1
Zr6 Zr 0.492 0.397 0.258 1
```

Results
ρ	14.58	g cm⁻³
calculated volume	16.96	Å³ per atom
formation energy	-0.7661	eV per atom
VASP energy	-143.9	eV per cell
space-group type	R-3, No. 148
density of states at the Fermi level	4.60	states/eV/f.u.

# ZrIr2

Crystalline ZrIr2 at its relaxed geometry (GGA-PBEsol, Alexandria via LeMat-Bulk).

```
data_ZrIr2
_cell_length_a 5.194
_cell_length_b 5.194
_cell_length_c 5.194
_cell_angle_alpha 60.00
_cell_angle_beta 60.00
_cell_angle_gamma 60.00
_space_group_name_H-M_alt 'P 1'
_space_group_IT_number 1
loop_
_space_group_symop_operation_xyz
'x,y,z'
loop_
_atom_site_label
_atom_site_type_symbol
_atom_site_fract_x
_atom_site_fract_y
_atom_site_fract_z
_atom_site_occupancy
Ir1 Ir 0.125 0.625 0.625 1
Ir2 Ir 0.625 0.625 0.625 1
Ir3 Ir 0.625 0.625 0.125 1
Ir4 Ir 0.625 0.125 0.625 1
Zr1 Zr 0.000 0.000 0.000 1
Zr2 Zr 0.250 0.250 0.250 1
```

Results
ρ	15.94	g cm⁻³
calculated volume	16.52	Å³ per atom
formation energy	-0.6846	eV per atom
VASP energy	-61.6	eV per cell
space-group type	Fd-3m, No. 227
density of states at the Fermi level	2.55	states/eV/f.u.

# ZrIr

Crystalline ZrIr at its relaxed geometry (GGA-PBEsol, Alexandria via LeMat-Bulk).

```
data_ZrIr
_cell_length_a 3.790
_cell_length_b 3.790
_cell_length_c 3.790
_cell_angle_alpha 60.00
_cell_angle_beta 60.00
_cell_angle_gamma 60.00
_space_group_name_H-M_alt 'P 1'
_space_group_IT_number 1
loop_
_space_group_symop_operation_xyz
'x,y,z'
loop_
_atom_site_label
_atom_site_type_symbol
_atom_site_fract_x
_atom_site_fract_y
_atom_site_fract_z
_atom_site_occupancy
Ir1 Ir 0.000 0.000 0.000 1
Zr1 Zr 0.500 0.500 0.500 1
```

Results
ρ	12.23	g cm⁻³
calculated volume	19.25	Å³ per atom
formation energy	-0.4452	eV per atom
VASP energy	-19.8	eV per cell
space-group type	Fm-3m, No. 225
density of states at the Fermi level	1.10	states/eV/f.u.

# Zr3Ir

Crystalline Zr3Ir at its relaxed geometry (GGA-PBEsol, Alexandria via LeMat-Bulk).

```
data_Zr3Ir
_cell_length_a 3.380
_cell_length_b 4.702
_cell_length_c 5.639
_cell_angle_alpha 114.64
_cell_angle_beta 107.44
_cell_angle_gamma 90.00
_space_group_name_H-M_alt 'P 1'
_space_group_IT_number 1
loop_
_space_group_symop_operation_xyz
'x,y,z'
loop_
_atom_site_label
_atom_site_type_symbol
_atom_site_fract_x
_atom_site_fract_y
_atom_site_fract_z
_atom_site_occupancy
Ir1 Ir 0.000 0.000 0.000 1
Zr1 Zr 0.733 0.233 0.465 1
Zr2 Zr 0.500 0.500 0.000 1
Zr3 Zr 0.267 0.767 0.535 1
```

Results
ρ	10.06	g cm⁻³
calculated volume	19.23	Å³ per atom
formation energy	-0.4631	eV per atom
VASP energy	-38.9	eV per cell
space-group type	Immm, No. 71
density of states at the Fermi level	3.96	states/eV/f.u.

# Zr3Ir

Crystalline Zr3Ir at its relaxed geometry (GGA-PBEsol, Alexandria via LeMat-Bulk).

```
data_Zr3Ir
_cell_length_a 3.208
_cell_length_b 3.208
_cell_length_c 9.159
_cell_angle_alpha 90.00
_cell_angle_beta 90.00
_cell_angle_gamma 120.00
_space_group_name_H-M_alt 'P 1'
_space_group_IT_number 1
loop_
_space_group_symop_operation_xyz
'x,y,z'
loop_
_atom_site_label
_atom_site_type_symbol
_atom_site_fract_x
_atom_site_fract_y
_atom_site_fract_z
_atom_site_occupancy
Ir1 Ir 0.000 0.000 0.000 1
Zr1 Zr 0.000 0.000 0.500 1
Zr2 Zr 0.667 0.333 0.780 1
Zr3 Zr 0.667 0.333 0.220 1
```

Results
ρ	9.48	g cm⁻³
calculated volume	20.41	Å³ per atom
formation energy	-0.1223	eV per atom
VASP energy	-37.6	eV per cell
space-group type	P-6m2, No. 187
density of states at the Fermi level	5.28	states/eV/f.u.

# Zr3Ir

Crystalline Zr3Ir at its relaxed geometry (GGA-PBEsol, Alexandria via LeMat-Bulk).

```
data_Zr3Ir
_cell_length_a 5.734
_cell_length_b 6.233
_cell_length_c 9.205
_cell_angle_alpha 90.00
_cell_angle_beta 90.00
_cell_angle_gamma 90.00
_space_group_name_H-M_alt 'P 1'
_space_group_IT_number 1
loop_
_space_group_symop_operation_xyz
'x,y,z'
loop_
_atom_site_label
_atom_site_type_symbol
_atom_site_fract_x
_atom_site_fract_y
_atom_site_fract_z
_atom_site_occupancy
Ir1 Ir 0.609 0.109 0.750 1
Ir2 Ir 0.109 0.391 0.250 1
Ir3 Ir 0.891 0.609 0.750 1
Ir4 Ir 0.391 0.891 0.250 1
Zr1 Zr 0.836 0.037 0.250 1
Zr2 Zr 0.371 0.206 0.051 1
Zr3 Zr 0.371 0.206 0.449 1
Zr4 Zr 0.871 0.294 0.551 1
Zr5 Zr 0.871 0.294 0.949 1
Zr6 Zr 0.336 0.463 0.750 1
Zr7 Zr 0.664 0.537 0.250 1
Zr8 Zr 0.129 0.706 0.051 1
Zr9 Zr 0.129 0.706 0.449 1
Zr10 Zr 0.629 0.794 0.551 1
Zr11 Zr 0.629 0.794 0.949 1
Zr12 Zr 0.164 0.963 0.750 1
```

Results
ρ	9.41	g cm⁻³
calculated volume	20.56	Å³ per atom
formation energy	-0.4529	eV per atom
VASP energy	-155.6	eV per cell
space-group type	Pnma, No. 62
density of states at the Fermi level	4.67	states/eV/f.u.

Question: Which value of formation energy does entry 4 give?
Answer: -0.7971 eV per atom